#one
Computed, not measured: crystalline Ac2Nd7Ho2 at its relaxed geometry at the PBE level of DFT.

abc: 11.759 11.921 6.188
angles: 90.00 111.58 90.00
Space group C2/m (No. 12)
Asymmetric unit:
Ac1 0.222 0.000 0.111 [4 per cell]
Nd1 0.000 0.000 0.500 [2 per cell]
Nd2 0.074 0.500 0.297 [4 per cell]
Nd3 0.181 0.225 0.675 [8 per cell]
Ho1 0.000 0.231 0.000 [4 per cell]

Computed properties:
- crystal system = monoclinic
- total magnetization (μB per formula unit) = 0.00

#two
Computed, not measured: crystalline Ac2Nd7Ho2 at its relaxed geometry at the PBE level of DFT.

abc: 6.954 12.501 9.665
angles: 90.00 90.00 90.00
Space group Cmmm (No. 65)
Asymmetric unit:
Ac1 0.248 0.000 0.000 [4 per cell]
Nd1 0.000 0.000 0.500 [2 per cell]
Nd2 0.000 0.500 0.327 [4 per cell]
Nd3 0.250 0.250 0.190 [8 per cell]
Ho1 0.000 0.266 0.500 [4 per cell]

Computed properties:
- crystal system = orthorhombic
- total magnetization (μB per formula unit) = 0.45

Energies relative to the minimum, meV/atom: #one 0; #two 187

#one
Computed, not measured: crystalline Ac2Nd8Ho3 at its relaxed geometry at the PBE level of DFT.

abc: 6.6917 6.6917 37.6816
angles: 90.00 90.00 120.00
Space group R-3m (No. 166, hexagonal axes)
Asymmetric unit:
Ac1 0.0000 0.0000 0.1401 [6 per cell]
Nd1 0.0000 0.0000 0.2265 [6 per cell]
Nd2 0.9996 0.4998 0.2800 [18 per cell]
Ho1 0.0000 0.0000 0.3120 [6 per cell]
Ho2 0.0000 0.0000 0.5000 [3 per cell]

Computed properties:
- crystal system = trigonal
- total magnetization (μB per formula unit) = 0.00

#two
Computed, not measured: crystalline Ac2Nd8Ho3 at its relaxed geometry at the PBE level of DFT.

abc: 13.437 12.055 6.306
angles: 90.00 113.45 90.00
Space group C2/m (No. 12)
Asymmetric unit:
Ac1 0.198 0.000 0.340 [4 per cell]
Nd1 0.078 0.000 0.759 [4 per cell]
Nd2 0.141 0.500 0.065 [4 per cell]
Nd3 0.161 0.251 0.664 [8 per cell]
Ho1 0.000 0.242 0.000 [4 per cell]
Ho2 0.000 0.500 0.500 [2 per cell]

Computed properties:
- crystal system = monoclinic
- total magnetization (μB per formula unit) = 0.00

Energies relative to the minimum, meV/atom: #one 86; #two 0